# 1
## Ho8Ge3CS3 (PBE)

Data for a relaxed Ho8Ge3CS3 crystal.

As for the density of states at the Fermi level: 0.456 states/eV per atom. As for the energy relative to the elements, uncorrected: -1.18 eV per atom.

It has space group R-3m (No. 166, hexagonal axes), with a = 7.8916 Å, b = 7.8916 Å, c = 19.8238 Å, α = 90.00°, β = 90.00° and γ = 120.00°. The distinct sites, in fractional coordinates, are Ho at (0.0000, 0.0000, 0.2491), Ho at (0.0332, 0.5166, 0.2411), Ge at (0.0000, 0.5000, 0.0000), C at (0.0000, 0.0000, 0.5000) and S at (0.0000, 0.5000, 0.5000).

---

# 2
## BiH2I (PBE)

Data for a relaxed BiH2I crystal.

Its raw total energy is -2.137 eV/atom. As for the density of states at the Fermi level: 0.590 states/eV per atom.

It has space group Fm-3m (No. 225), with a = 6.526 Å, b = 6.526 Å, c = 6.526 Å, α = 90.00°, β = 90.00° and γ = 90.00°. The distinct sites, in fractional coordinates, are Bi at (0.000, 0.000, 0.000), H at (0.250, 0.250, 0.250) and I at (0.000, 0.000, 0.500).

---

# 3
## Dy3Mg3Ag2 (PBE)

Data for a relaxed Dy3Mg3Ag2 crystal.

Its raw total energy is -3.187 eV/atom. As for the density of states at the Fermi level: 0.687 states/eV per atom.

It has space group Pmmm (No. 47), with a = 4.980 Å, b = 5.165 Å, c = 7.550 Å, α = 90.00°, β = 90.00° and γ = 90.00°. The distinct sites, in fractional coordinates, are Dy at (0.000, 0.000, 0.000), Dy at (0.000, 0.000, 0.500), Dy at (0.500, 0.500, 0.000), Mg at (0.000, 0.500, 0.267), Mg at (0.500, 0.500, 0.500) and Ag at (0.500, 0.000, 0.249).

---

# 4
## Dy2Y2Tm7 (PBE)

Data for a relaxed Dy2Y2Tm7 crystal.

Its raw total energy is -4.831 eV/atom. As for the density of states at the Fermi level: 1.435 states/eV per atom.

It has space group P-1 (No. 2), with a = 6.083 Å, b = 6.090 Å, c = 9.283 Å, α = 83.76°, β = 89.96° and γ = 80.35°. The distinct sites, in fractional coordinates, are Dy at (0.227, 0.136, 0.456), Y at (0.045, 0.227, 0.092), Tm at (0.137, 0.681, 0.274), Tm at (0.320, 0.591, 0.637), Tm at (0.410, 0.047, 0.818) and Tm at (0.500, 0.500, 0.000).

---

# 5
## ZnInC2Se (PBE)

Data for a relaxed ZnInC2Se crystal.

As for the density of states at the Fermi level: 0.547 states/eV per atom. As for the energy relative to the elements, uncorrected: 1.85 eV per atom.

It has space group P4/mmm (No. 123), with a = 3.964 Å, b = 3.964 Å, c = 5.961 Å, α = 90.00°, β = 90.00° and γ = 90.00°. The distinct sites, in fractional coordinates, are Zn at (0.000, 0.000, 0.000), In at (0.500, 0.500, 0.500), C at (0.000, 0.500, 0.000) and Se at (0.000, 0.000, 0.500).

---

# 6
## Zr3AgIr (PBE)

Data for a relaxed Zr3AgIr crystal.

Its raw total energy is -7.213 eV/atom. As for the density of states at the Fermi level: 1.842 states/eV per atom.

It has space group Pm-3m (No. 221), with a = 5.068 Å, b = 5.068 Å, c = 5.068 Å, α = 90.00°, β = 90.00° and γ = 90.00°. The distinct sites, in fractional coordinates, are Zr at (0.000, 0.000, 0.500), Ag at (0.500, 0.500, 0.500) and Ir at (0.000, 0.000, 0.000).

---

# 7
## CaTi3Si (PBE)

Data for a relaxed CaTi3Si crystal.

As for the density of states at the Fermi level: 1.645 states/eV per atom. As for the energy relative to the elements, uncorrected: 0.27 eV per atom.

It has space group Pm-3m (No. 221), with a = 4.814 Å, b = 4.814 Å, c = 4.814 Å, α = 90.00°, β = 90.00° and γ = 90.00°. The distinct sites, in fractional coordinates, are Ca at (0.000, 0.000, 0.000), Ti at (0.000, 0.500, 0.500) and Si at (0.500, 0.500, 0.500).

---

# 8
## Sm5Dy2Ge4 (PBE)

Data for a relaxed Sm5Dy2Ge4 crystal.

Its raw total energy is -4.941 eV/atom. As for the density of states at the Fermi level: 1.030 states/eV per atom.

It has space group C2/m (No. 12), with a = 21.300 Å, b = 3.813 Å, c = 8.210 Å, α = 90.00°, β = 96.14° and γ = 90.00°. The distinct sites, in fractional coordinates, are Sm at (0.000, 0.000, 0.000), Sm at (0.101, 0.500, 0.430), Sm at (0.162, 0.500, 0.972), Dy at (0.235, 0.000, 0.666), Ge at (0.027, 0.500, 0.734) and Ge at (0.104, 0.000, 0.716).